(A)
LiRhF2 | PBE | optimized geometry

**Spin magnetization**: 2.00 μB/cell
**SG**: R-3m (166)

Unit cell a=7.3835 b=7.3835 c=7.3835 alpha=22.39 beta=22.39 gamma=22.39
With the nearest neighbours (Å) after each atom.
Sites, in units of the cell vectors:
Li (0.0000, 0.0000, 0.0000)  2 F 1.69
Rh (0.5000, 0.5000, 0.5000)  6 F 2.53
F (0.9219, 0.9219, 0.9219)  1 Li 1.69
F (0.0781, 0.0781, 0.0781)  1 Li 1.69



(B)
LiRhF2 | PBE | optimized geometry

**Spin magnetization**: 4.00 μB/cell
**SG**: I-42d (122)

Unit cell a=5.0706 b=5.0706 c=5.4089 alpha=62.05 beta=62.05 gamma=90.00
With the nearest neighbours (Å) after each atom.
Sites, in units of the cell vectors:
Li (0.5000, 0.5000, 0.0000)  4 F 1.85
Li (0.2500, 0.7500, 0.5000)  4 F 1.85
Rh (0.0000, 0.0000, 0.0000)  4 F 2.31
Rh (0.7500, 0.2500, 0.5000)  4 F 2.31
F (0.5498, 0.1250, 0.2500)  2 Li 1.85
F (0.2002, 0.6250, 0.2500)  2 Li 1.85
F (0.3750, 0.4502, 0.7500)  2 Li 1.85
F (0.8750, 0.7998, 0.7500)  2 Li 1.85



Question: which arrangement is favored energetically? Ranking from most to least stable: (B), (A).



(A)
LiRh3F | PBE | optimized geometry

**Spin magnetization**: 0.00 μB/cell
**SG**: Pm-3m (221)

Unit cell a=4.2480 b=4.2480 c=4.2480 alpha=90.00 beta=90.00 gamma=90.00
With the nearest neighbours (Å) after each atom.
Sites, in units of the cell vectors:
Li (0.5000, 0.5000, 0.5000)  12 Rh 3.00
Rh (0.0000, 0.5000, 0.0000)  2 F 2.12
Rh (0.0000, 0.0000, 0.5000)  2 F 2.12
Rh (0.5000, 0.0000, 0.0000)  2 F 2.12
F (0.0000, 0.0000, 0.0000)  6 Rh 2.12



(B)
LiRh3F | PBE | optimized geometry

**Spin magnetization**: 2.55 μB/cell
**SG**: Pm-3m (221)

Unit cell a=4.1933 b=4.1933 c=4.1933 alpha=90.00 beta=90.00 gamma=90.00
With the nearest neighbours (Å) after each atom.
Sites, in units of the cell vectors:
Li (0.0000, 0.0000, 0.0000)  6 Rh 2.10
Rh (0.0000, 0.5000, 0.0000)  2 Li 2.10
Rh (0.0000, 0.0000, 0.5000)  2 Li 2.10
Rh (0.5000, 0.0000, 0.0000)  2 Li 2.10
F (0.5000, 0.5000, 0.5000)  12 Rh 2.97



Question: which arrangement is favored energetically? Ranking from most to least stable: (A), (B).



(A)
Li2Rh2F7 | PBE | optimized geometry

**Spin magnetization**: 1.01 μB/cell
**SG**: C2/m (12)

Unit cell a=5.2932 b=5.6161 c=5.6161 alpha=127.96 beta=87.29 gamma=87.29
With the nearest neighbours (Å) after each atom.
Sites, in units of the cell vectors:
Li (0.5000, 0.1783, 0.8217)  2 F 1.96
Li (0.5000, 0.8217, 0.1783)  2 F 1.96
Rh (0.8054, 0.3872, 0.3872)  4 F 1.97-2.07
Rh (0.1946, 0.6128, 0.6128)  4 F 1.97-2.07
F (0.2510, 0.8454, 0.4626)  1 Li 1.96, 1 Rh 1.97
F (0.7490, 0.5374, 0.1546)  1 Li 1.96, 1 Rh 1.97
F (0.7490, 0.1546, 0.5374)  1 Li 1.96, 1 Rh 1.97
F (0.2510, 0.4626, 0.8454)  1 Li 1.96, 1 Rh 1.97
F (0.0000, 0.0000, 0.0000)  2 Rh 2.07
F (0.5904, 0.7524, 0.7524)  1 Rh 2.02, 2 Li 2.20
F (0.4096, 0.2476, 0.2476)  1 Rh 2.02, 2 Li 2.20



(B)
Li2Rh2F7 | PBE | optimized geometry

**Spin magnetization**: 1.03 μB/cell
**SG**: Cmc2_1 (36)

Unit cell a=4.1404 b=5.4020 c=13.7278 alpha=90.00 beta=98.67 gamma=90.00
With the nearest neighbours (Å) after each atom.
Sites, in units of the cell vectors:
Li (0.5839, 0.4031, 0.1679)  4 F 1.94-2.09
Li (0.7350, 0.9410, 0.4700)  2 F 1.93-1.99
Li (0.2650, 0.4410, 0.5300)  2 F 1.93-1.99
Li (0.4161, 0.9031, 0.8321)  4 F 1.94-2.09
Rh (0.9479, 0.5246, 0.8958)  6 F 2.05-2.17
Rh (0.8406, 0.0551, 0.6811)  6 F 2.00-2.09
Rh (0.1594, 0.5551, 0.3189)  6 F 2.00-2.09
Rh (0.0521, 0.0246, 0.1042)  6 F 2.05-2.17
F (0.9838, 0.1859, 0.9676)  2 Rh 2.05-2.07
F (0.9086, 0.8737, 0.8172)  2 Li 2.09, 2 Rh 2.09-2.17
F (0.8780, 0.3811, 0.7560)  2 Rh 2.03-2.05
F (0.7962, 0.7587, 0.5925)  1 Li 1.93, 1 Rh 2.00
F (0.6503, 0.5458, 0.3005)  1 Li 1.96, 2 Rh 2.09
F (0.5550, 0.0754, 0.1100)  1 Li 1.94, 2 Rh 2.09
F (0.7763, 0.2454, 0.5525)  1 Li 1.99, 1 Rh 2.03
F (0.2237, 0.7454, 0.4475)  1 Li 1.99, 1 Rh 2.03
F (0.4450, 0.5754, 0.8900)  1 Li 1.94, 2 Rh 2.09
F (0.3497, 0.0458, 0.6995)  1 Li 1.96, 2 Rh 2.09
F (0.2038, 0.2587, 0.4075)  1 Li 1.93, 1 Rh 2.00
F (0.0914, 0.3737, 0.1828)  2 Li 2.09, 2 Rh 2.09-2.17
F (0.1220, 0.8811, 0.2440)  2 Rh 2.03-2.05
F (0.0162, 0.6859, 0.0324)  2 Rh 2.05-2.07



Question: which arrangement is favored energetically? Ranking from most to least stable: (A), (B).



(A)
LiRh2F | PBE | optimized geometry

**Spin magnetization**: 2.44 μB/cell
**SG**: Fm-3m (225)

Unit cell a=4.1692 b=4.1692 c=4.1692 alpha=60.00 beta=60.00 gamma=60.00
With the nearest neighbours (Å) after each atom.
Sites, in units of the cell vectors:
Li (0.0000, 0.0000, 0.0000)  8 Rh 2.55
Rh (0.2500, 0.2500, 0.2500)  4 F 2.55, 4 Li 2.55
Rh (0.7500, 0.7500, 0.7500)  4 F 2.55, 4 Li 2.55
F (0.5000, 0.5000, 0.5000)  8 Rh 2.55



(B)
LiRh2F | PBE | optimized geometry

**Spin magnetization**: 5.61 μB/cell
**SG**: I-42d (122)

Unit cell a=8.2517 b=8.2517 c=6.1189 alpha=47.60 beta=47.60 gamma=90.00
With the nearest neighbours (Å) after each atom.
Sites, in units of the cell vectors:
Li (0.5000, 0.5000, 0.0000)  2 F 1.84
Li (0.2500, 0.7500, 0.5000)  2 F 1.84
Rh (0.7237, 0.1250, 0.2500)  2 F 2.45, 2 Rh 2.46
Rh (0.0263, 0.6250, 0.2500)  2 F 2.45, 2 Rh 2.46
Rh (0.3750, 0.2763, 0.7500)  2 F 2.45, 2 Rh 2.46
Rh (0.8750, 0.9737, 0.7500)  2 F 2.45, 2 Rh 2.46
F (0.0000, 0.0000, 0.0000)  2 Li 1.84
F (0.7500, 0.2500, 0.5000)  2 Li 1.84



Question: which arrangement is favored energetically? Ranking from most to least stable: (B), (A).